1.
Here is a geometry-optimized LiZrBPt structure from OQMD via LeMat-Bulk. Energies are from PBE-GGA.

Values from the calculation:
Its density is 9.13 g/cm3. The energy above the most stable polymorph in this dataset comes out at 0.101 eV/atom. Its crystal system is cubic.

a = 6.0472 Å, b = 6.0472 Å, c = 6.0472 Å
α = 90.00°, β = 90.00°, γ = 90.00°
Element x y z (fractional)
1 Li 0.0000 0.0000 0.0000
2 Li 0.0000 0.5000 0.5000
3 Li 0.5000 0.0000 0.5000
4 Li 0.5000 0.5000 0.0000
5 Zr 0.2500 0.2500 0.7500
6 Zr 0.2500 0.7500 0.2500
7 Zr 0.7500 0.2500 0.2500
8 Zr 0.7500 0.7500 0.7500
9 B 0.2500 0.2500 0.2500
10 B 0.2500 0.7500 0.7500
11 B 0.7500 0.2500 0.7500
12 B 0.7500 0.7500 0.2500
13 Pt 0.0000 0.0000 0.5000
14 Pt 0.0000 0.5000 0.0000
15 Pt 0.5000 0.0000 0.0000
16 Pt 0.5000 0.5000 0.5000


2.
Here is a geometry-optimized Pr2Sn5Ir3 structure from OQMD via LeMat-Bulk. Energies are from PBE-GGA.

Values from the calculation:
Its density is 10.50 g/cm3. Its crystal system is orthorhombic. The calculation puts the total energy at -6.185 eV per atom.

a = 9.0622 Å, b = 9.0622 Å, c = 9.0622 Å
α = 104.20°, β = 90.54°, γ = 138.18°
Element x y z (fractional)
1 Pr 0.1424 0.2264 0.3688
2 Pr 0.3576 0.7264 0.0839
3 Pr 0.6424 0.2736 0.9161
4 Pr 0.8576 0.7736 0.6312
5 Sn 0.0245 0.7500 0.2745
6 Sn 0.0887 0.6650 0.7538
7 Sn 0.2500 0.2500 0.0000
8 Sn 0.4113 0.1650 0.5763
9 Sn 0.4755 0.7500 0.7255
10 Sn 0.5245 0.2500 0.2745
11 Sn 0.5887 0.8350 0.4237
12 Sn 0.7500 0.7500 0.0000
13 Sn 0.9113 0.3350 0.2462
14 Sn 0.9755 0.2500 0.7255
15 Ir 0.1408 0.8883 0.0291
16 Ir 0.2500 0.7500 0.5000
17 Ir 0.3592 0.3883 0.7475
18 Ir 0.6408 0.6117 0.2525
19 Ir 0.7500 0.2500 0.5000
20 Ir 0.8592 0.1117 0.9709


3.
Here is a geometry-optimized Hf4Sc2P3C3 structure from OQMD via LeMat-Bulk. Energies are from PBE-GGA.

Values from the calculation:
Its density is 8.40 g/cm3. Its crystal system is monoclinic. The calculation puts the total energy at -9.079 eV per atom.

a = 5.9508 Å, b = 5.9508 Å, c = 12.5003 Å
α = 103.80°, β = 103.80°, γ = 60.08°
Element x y z (fractional)
1 Hf 0.0319 0.2037 0.1041
2 Hf 0.1345 0.2986 0.3960
3 Hf 0.2037 0.0319 0.6041
4 Hf 0.2986 0.1345 0.8960
5 Hf 0.7014 0.8655 0.1040
6 Hf 0.7963 0.9681 0.3959
7 Hf 0.8655 0.7014 0.6040
8 Hf 0.9681 0.7963 0.8959
9 Sc 0.3706 0.5362 0.1065
10 Sc 0.4638 0.6294 0.3935
11 Sc 0.5362 0.3706 0.6065
12 Sc 0.6294 0.4638 0.8935
13 P 0.0826 0.9174 0.2500
14 P 0.2492 0.4168 0.7497
15 P 0.4168 0.2492 0.2497
16 P 0.5832 0.7508 0.7503
17 P 0.7508 0.5832 0.2503
18 P 0.9174 0.0826 0.7500
19 C 0.0000 0.5000 0.0000
20 C 0.1535 0.6731 0.5000
21 C 0.3269 0.8465 0.0000
22 C 0.5000 0.0000 0.5000
23 C 0.6731 0.1535 0.0000
24 C 0.8465 0.3269 0.5000


4.
Here is a geometry-optimized TaFeNiGe structure from OQMD via LeMat-Bulk. Energies are from PBE-GGA.

Values from the calculation:
Its density is 11.06 g/cm3. The energy above the most stable polymorph in this dataset comes out at 0.150 eV/atom. Its crystal system is cubic.

a = 6.0459 Å, b = 6.0459 Å, c = 6.0459 Å
α = 90.00°, β = 90.00°, γ = 90.00°
Element x y z (fractional)
1 Ta 0.0000 0.0000 0.0000
2 Ta 0.0000 0.5000 0.5000
3 Ta 0.5000 0.0000 0.5000
4 Ta 0.5000 0.5000 0.0000
5 Fe 0.2500 0.2500 0.7500
6 Fe 0.2500 0.7500 0.2500
7 Fe 0.7500 0.2500 0.2500
8 Fe 0.7500 0.7500 0.7500
9 Ni 0.0000 0.0000 0.5000
10 Ni 0.0000 0.5000 0.0000
11 Ni 0.5000 0.0000 0.0000
12 Ni 0.5000 0.5000 0.5000
13 Ge 0.2500 0.2500 0.2500
14 Ge 0.2500 0.7500 0.7500
15 Ge 0.7500 0.2500 0.7500
16 Ge 0.7500 0.7500 0.2500


Repeat the fourth record exactly.
Here is a geometry-optimized TaFeNiGe structure from OQMD via LeMat-Bulk. Energies are from PBE-GGA.

Values from the calculation:
Its density is 11.06 g/cm3. The energy above the most stable polymorph in this dataset comes out at 0.150 eV/atom. Its crystal system is cubic.

a = 6.0459 Å, b = 6.0459 Å, c = 6.0459 Å
α = 90.00°, β = 90.00°, γ = 90.00°
Element x y z (fractional)
1 Ta 0.0000 0.0000 0.0000
2 Ta 0.0000 0.5000 0.5000
3 Ta 0.5000 0.0000 0.5000
4 Ta 0.5000 0.5000 0.0000
5 Fe 0.2500 0.2500 0.7500
6 Fe 0.2500 0.7500 0.2500
7 Fe 0.7500 0.2500 0.2500
8 Fe 0.7500 0.7500 0.7500
9 Ni 0.0000 0.0000 0.5000
10 Ni 0.0000 0.5000 0.0000
11 Ni 0.5000 0.0000 0.0000
12 Ni 0.5000 0.5000 0.5000
13 Ge 0.2500 0.2500 0.2500
14 Ge 0.2500 0.7500 0.7500
15 Ge 0.7500 0.2500 0.7500
16 Ge 0.7500 0.7500 0.2500


Which value of density does entry 1 give? 9.13 g/cm3


Copy entry 4 word for word.
Here is a geometry-optimized TaFeNiGe structure from OQMD via LeMat-Bulk. Energies are from PBE-GGA.

Values from the calculation:
Its density is 11.06 g/cm3. The energy above the most stable polymorph in this dataset comes out at 0.150 eV/atom. Its crystal system is cubic.

a = 6.0459 Å, b = 6.0459 Å, c = 6.0459 Å
α = 90.00°, β = 90.00°, γ = 90.00°
Element x y z (fractional)
1 Ta 0.0000 0.0000 0.0000
2 Ta 0.0000 0.5000 0.5000
3 Ta 0.5000 0.0000 0.5000
4 Ta 0.5000 0.5000 0.0000
5 Fe 0.2500 0.2500 0.7500
6 Fe 0.2500 0.7500 0.2500
7 Fe 0.7500 0.2500 0.2500
8 Fe 0.7500 0.7500 0.7500
9 Ni 0.0000 0.0000 0.5000
10 Ni 0.0000 0.5000 0.0000
11 Ni 0.5000 0.0000 0.0000
12 Ni 0.5000 0.5000 0.5000
13 Ge 0.2500 0.2500 0.2500
14 Ge 0.2500 0.7500 0.7500
15 Ge 0.7500 0.2500 0.7500
16 Ge 0.7500 0.7500 0.2500


Among the records above, which one has the lowest density? Hf4Sc2P3C3